# PBE-GGA Rb3Ac2HfS6, relaxed
data_Rb3Ac2HfS6
_chemical_formula_sum 'Rb6 Ac4 Hf2 S12'
_space_group_name_H-M_alt 'C 1 2/m 1'
_space_group_IT_number 12
_space_group_name_Hall '-C 2y'
_cell_length_a 7.3237
_cell_length_b 12.6809
_cell_length_c 8.1055
_cell_angle_alpha 90.00
_cell_angle_beta 107.70
_cell_angle_gamma 90.00
loop_
_atom_site_label
_atom_site_type_symbol
_atom_site_fract_x
_atom_site_fract_y
_atom_site_fract_z
Rb1 Rb 0.0000 0.0000 0.0000
Rb2 Rb 0.0000 0.3304 0.0000
Ac1 Ac 0.0000 0.1665 0.5000
Hf1 Hf 0.0000 0.5000 0.5000
S1 S 0.2138 0.3521 0.6960
S2 S 0.2293 0.5000 0.3040
# Density (g/cm3): 5.01
# V (Å³ per atom): 29.9
# M_tot (Bohr magnetons per cell): 0.0
# Total DFT energy (no corrections) (eV/f.u.): -65.835
# E_form (uncorrected) (eV per atom): -1.666

***

# PBE-GGA Rb2AcHf2S7, relaxed
data_Rb2AcHf2S7
_chemical_formula_sum 'Rb4 Ac2 Hf4 S14'
_space_group_name_H-M_alt 'I 4/m m m'
_space_group_IT_number 139
_space_group_name_Hall '-I 4 2'
_cell_length_a 4.9595
_cell_length_b 4.9595
_cell_length_c 26.8423
_cell_angle_alpha 90.00
_cell_angle_beta 90.00
_cell_angle_gamma 90.00
loop_
_atom_site_label
_atom_site_type_symbol
_atom_site_fract_x
_atom_site_fract_y
_atom_site_fract_z
Rb1 Rb 0.0000 0.0000 0.1862
Ac1 Ac 0.0000 0.0000 0.0000
Hf1 Hf 0.0000 0.0000 0.4014
S1 S 0.0000 0.0000 0.3140
S2 S 0.0000 0.0000 0.5000
S3 S 0.0000 0.5000 0.0787
# Density (g/cm3): 4.93
# V (Å³ per atom): 27.5
# M_tot (Bohr magnetons per cell): 0.0
# Total DFT energy (no corrections) (eV/f.u.): -73.115
# E_form (uncorrected) (eV per atom): -1.523